1.
Y6ScS8: relaxed, PBE.

The structure belongs to space group Fm-3m (No. 225); the cell edges are 11.007, 11.007 and 11.007 Å and the angles 90.00°, 90.00° and 90.00°. The distinct sites, in fractional coordinates, are Y at (0.000, 0.250, 0.250), Sc at (0.000, 0.000, 0.000), S at (0.000, 0.000, 0.243) and S at (0.250, 0.250, 0.250).

As for the volume: 22.2 A^3/atom. Its formation energy (no corrections) is -2.041 eV/atom. Its magnetization is 0.00 Bohr magnetons per cell. As for the density of states at the Fermi level: 0.475 states/eV/atom.

***

2.
Y3Sc5S12: relaxed, PBE.

The structure belongs to space group Ia-3d (No. 230); the cell edges are 15.535, 15.535 and 15.535 Å and the angles 90.00°, 90.00° and 90.00°. The distinct sites, in fractional coordinates, are Y at (0.000, 0.250, 0.125), Sc at (0.000, 0.000, 0.000), Sc at (0.000, 0.250, 0.375) and S at (0.024, 0.065, 0.651).

As for the volume: 23.4 A^3/atom. Its formation energy (no corrections) is -1.829 eV/atom. Its magnetization is 0.00 Bohr magnetons per cell. As for the density of states at the Fermi level: 0.000 states/eV/atom.

***

3.
Y2ScS2: relaxed, PBE.

The structure belongs to space group I4/mmm (No. 139); the cell edges are 4.788, 4.788 and 11.995 Å and the angles 90.00°, 90.00° and 90.00°. The distinct sites, in fractional coordinates, are Y at (0.000, 0.000, 0.146), Sc at (0.000, 0.000, 0.500) and S at (0.000, 0.500, 0.250).

As for the volume: 27.5 A^3/atom. Its formation energy (no corrections) is -0.924 eV/atom. The offset from the most stable computed form is 0 meV/atom. Its magnetization is 2.58 Bohr magnetons per cell. As for the density of states at the Fermi level: 0.917 states/eV/atom.

***

4.
YScS2: relaxed, PBE.

The structure belongs to space group Fm-3m (No. 225); the cell edges are 6.675, 6.675 and 6.675 Å and the angles 90.00°, 90.00° and 90.00°. The distinct sites, in fractional coordinates, are Y at (0.000, 0.000, 0.000), Sc at (0.000, 0.000, 0.500) and S at (0.250, 0.250, 0.250).

As for the volume: 18.6 A^3/atom. Its formation energy (no corrections) is -1.552 eV/atom. The offset from the most stable computed form is 378 meV/atom. Its magnetization is 5.08 Bohr magnetons per cell. As for the density of states at the Fermi level: 0.513 states/eV/atom.

***

5.
Y2ScS4: relaxed, PBE.

The structure belongs to space group P-1 (No. 2); the cell edges are 6.646, 6.954 and 7.415 Å and the angles 74.78°, 89.82° and 73.74°. The distinct sites, in fractional coordinates, are Y at (0.183, 0.212, 0.447), Y at (0.186, 0.203, 0.948), Sc at (0.349, 0.686, 0.814), S at (0.012, 0.989, 0.752), S at (0.215, 0.502, 0.626), S at (0.245, 0.505, 0.121) and S at (0.496, 0.003, 0.252).

As for the volume: 22.6 A^3/atom. Its formation energy (no corrections) is -1.939 eV/atom. The offset from the most stable computed form is 0 meV/atom. Its magnetization is 0.00 Bohr magnetons per cell. As for the density of states at the Fermi level: 0.393 states/eV/atom.

***

6.
Y2Sc3S4: relaxed, PBE.

The structure belongs to space group P-3m1 (No. 164); the cell edges are 3.7422, 3.7422 and 15.2079 Å and the angles 90.00°, 90.00° and 120.00°. The distinct sites, in fractional coordinates, are Y at (0.3333, 0.6667, 0.2104), Sc at (0.0000, 0.0000, 0.0000), Sc at (0.3333, 0.6667, 0.5851), S at (0.0000, 0.0000, 0.3206) and S at (0.3333, 0.6667, 0.9026).

As for the volume: 20.5 A^3/atom. Its formation energy (no corrections) is -1.696 eV/atom. Its magnetization is 0.00 Bohr magnetons per cell. As for the density of states at the Fermi level: 0.701 states/eV/atom.